(1)
This record from Alexandria describes a geometry-optimized BSbSe2N structure. The functional is PBE.

- Density: 4.4 Mg/m³
- Electronic total energy: -17.8 eV per cell
- Uncorrected formation energy: 160.9 kJ/mol of atoms
- Excess energy over the best structure of this formula in the dataset: 1420 meV/atom
- Total magnetic moment: 1.206 Bohr magnetons per cell
- Space-group type: P4/mmm (123)

```
data_BSbSe2N
_chemical_formula_sum 'B1 Sb1 Se2 N1'
_space_group_name_H-M_alt 'P 1'
_space_group_IT_number 1
_space_group_name_Hall 'P 1'
_cell_length_a 5.3493
_cell_length_b 5.3493
_cell_length_c 3.9740
_cell_angle_alpha 90.00
_cell_angle_beta 90.00
_cell_angle_gamma 90.00
loop_
_atom_site_label
_atom_site_fract_x
_atom_site_fract_y
_atom_site_fract_z
Sb1 0.0000 0.0000 0.0000
B1 0.5000 0.5000 0.5000
Se1 0.5000 0.0000 0.0000
Se2 0.0000 0.5000 0.0000
N1 0.0000 0.0000 0.5000
```

---

(2)
This record from Alexandria describes a geometry-optimized Ac2AlCrGe6 structure. The functional is PBE.

- Density: 7.3 Mg/m³
- Electronic total energy: -104.8 eV per cell
- Total magnetic moment: 4.033 Bohr magnetons per cell
- Formation energy from the elements: -0.313 eV per atom
- Space-group type: R-3m (166)

```
data_Ac2AlCrGe6
_chemical_formula_sum 'Ac4 Al2 Cr2 Ge12'
_space_group_name_H-M_alt 'P 1'
_space_group_IT_number 1
_space_group_name_Hall 'P 1'
_cell_length_a 6.4643
_cell_length_b 6.4643
_cell_length_c 12.6846
_cell_angle_alpha 75.24
_cell_angle_beta 75.24
_cell_angle_gamma 60.00
loop_
_atom_site_label
_atom_site_fract_x
_atom_site_fract_y
_atom_site_fract_z
Ge1 0.0684 0.6674 0.5968
Ge2 0.6674 0.6674 0.5968
Ge3 0.3326 0.3326 0.4032
Ge4 0.2294 0.6556 0.8855
Ge5 0.6556 0.2294 0.8855
Ge6 0.3326 0.9316 0.4032
Ge7 0.7706 0.3444 0.1145
Ge8 0.9316 0.3326 0.4032
Ge9 0.6674 0.0684 0.5968
Ge10 0.3444 0.7706 0.1145
Ge11 0.2294 0.2294 0.8855
Ge12 0.7706 0.7706 0.1145
Ac1 0.2878 0.2878 0.1367
Ac2 0.1111 0.1111 0.6666
Ac3 0.8889 0.8889 0.3334
Ac4 0.7122 0.7122 0.8633
Cr1 0.5000 0.5000 0.5000
Cr2 0.0000 0.0000 0.0000
Al1 0.5719 0.5719 0.2842
Al2 0.4281 0.4281 0.7158
```

---

(3)
This record from Alexandria describes a geometry-optimized LiTa2Tl structure. The functional is PBE.

- Density: 12.0 Mg/m³
- Electronic total energy: -27.0 eV per cell
- Total magnetic moment: 0.000 Bohr magnetons per cell
- Formation energy from the elements: 0.239 eV per atom
- Space-group type: Cmm2 (35)

```
data_LiTa2Tl
_chemical_formula_sum 'Li1 Ta2 Tl1'
_space_group_name_H-M_alt 'P 1'
_space_group_IT_number 1
_space_group_name_Hall 'P 1'
_cell_length_a 2.9716
_cell_length_b 2.9716
_cell_length_c 9.5075
_cell_angle_alpha 90.00
_cell_angle_beta 90.00
_cell_angle_gamma 109.32
loop_
_atom_site_label
_atom_site_fract_x
_atom_site_fract_y
_atom_site_fract_z
Li1 0.5000 0.5000 0.7501
Ta1 0.0000 0.0000 0.0098
Ta2 0.5000 0.5000 0.2339
Tl1 0.0000 0.0000 0.5063
```

---

(4)
This record from Alexandria describes a geometry-optimized ZrP2Au structure. The functional is PBE.

- Density: 7.9 Mg/m³
- Electronic total energy: -22.4 eV per cell
- Excess energy over the best structure of this formula in the dataset: 588 meV/atom
- Total magnetic moment: 0.000 Bohr magnetons per cell
- Formation energy from the elements: 0.050 eV per atom
- Space-group type: P4mm (99)

```
data_ZrP2Au
_chemical_formula_sum 'Zr1 P2 Au1'
_space_group_name_H-M_alt 'P 1'
_space_group_IT_number 1
_space_group_name_Hall 'P 1'
_cell_length_a 2.9414
_cell_length_b 2.9414
_cell_length_c 8.5519
_cell_angle_alpha 90.00
_cell_angle_beta 90.00
_cell_angle_gamma 90.00
loop_
_atom_site_label
_atom_site_fract_x
_atom_site_fract_y
_atom_site_fract_z
P1 0.5000 0.5000 0.2813
P2 0.0000 0.0000 0.9701
Zr1 0.0000 0.0000 0.4961
Au1 0.5000 0.5000 0.7525
```

---

(5)
This record from Alexandria describes a geometry-optimized PrMg5Ag3 structure. The functional is PBE.

- Density: 4.8 Mg/m³
- Electronic total energy: -45.2 eV per cell
- Total magnetic moment: 0.000 Bohr magnetons per cell
- Formation energy from the elements: -0.143 eV per atom
- Space-group type: Cmcm (63)

```
data_PrMg5Ag3
_chemical_formula_sum 'Pr2 Mg10 Ag6'
_space_group_name_H-M_alt 'P 1'
_space_group_IT_number 1
_space_group_name_Hall 'P 1'
_cell_length_a 3.3747
_cell_length_b 7.8364
_cell_length_c 15.6234
_cell_angle_alpha 90.00
_cell_angle_beta 90.00
_cell_angle_gamma 102.43
loop_
_atom_site_label
_atom_site_fract_x
_atom_site_fract_y
_atom_site_fract_z
Mg1 0.5361 0.0722 0.8436
Mg2 0.8066 0.6132 0.4276
Mg3 0.4639 0.9278 0.1564
Mg4 0.1934 0.3868 0.9276
Mg5 0.1934 0.3868 0.5724
Mg6 0.0000 0.0000 0.0000
Mg7 0.8066 0.6132 0.0724
Mg8 0.0000 0.0000 0.5000
Mg9 0.5361 0.0722 0.6564
Mg10 0.4639 0.9278 0.3436
Pr1 0.1609 0.3218 0.2500
Pr2 0.8391 0.6782 0.7500
Ag1 0.3728 0.7455 0.5692
Ag2 0.6272 0.2545 0.0692
Ag3 0.8470 0.6941 0.2500
Ag4 0.3728 0.7455 0.9308
Ag5 0.1530 0.3059 0.7500
Ag6 0.6272 0.2545 0.4308
```

---

(6)
This record from Alexandria describes a geometry-optimized Sn3Bi5Te12 structure. The functional is PBE.

- Density: 6.2 Mg/m³
- Electronic total energy: -278.0 eV per cell
- Uncorrected formation energy: -1.9 kJ/mol of atoms
- Total magnetic moment: 0.000 Bohr magnetons per cell
- Space-group type: Ia-3d (230)

```
data_Sn3Bi5Te12
_chemical_formula_sum 'Sn12 Bi20 Te48'
_space_group_name_H-M_alt 'P 1'
_space_group_IT_number 1
_space_group_name_Hall 'P 1'
_cell_length_a 16.0165
_cell_length_b 16.0165
_cell_length_c 16.0165
_cell_angle_alpha 109.47
_cell_angle_beta 109.47
_cell_angle_gamma 109.47
loop_
_atom_site_label
_atom_site_fract_x
_atom_site_fract_y
_atom_site_fract_z
Bi1 0.0000 0.5000 0.0000
Bi2 0.0000 0.0000 0.0000
Bi3 0.5000 0.5000 0.5000
Bi4 0.8750 0.6250 0.7500
Bi5 0.7500 0.1250 0.8750
Bi6 0.5000 0.0000 0.5000
Bi7 0.3750 0.2500 0.1250
Bi8 0.3750 0.1250 0.7500
Bi9 0.1250 0.7500 0.3750
Bi10 0.1250 0.3750 0.2500
Bi11 0.2500 0.3750 0.6250
Bi12 0.0000 0.0000 0.5000
Bi13 0.0000 0.5000 0.5000
Bi14 0.8750 0.2500 0.6250
Bi15 0.5000 0.5000 0.0000
Bi16 0.5000 0.0000 0.0000
Bi17 0.6250 0.8750 0.2500
Bi18 0.2500 0.8750 0.1250
Bi19 0.6250 0.7500 0.8750
Bi20 0.7500 0.6250 0.3750
Te1 0.8304 0.9182 0.0536
Te2 0.9464 0.3646 0.2767
Te3 0.9182 0.0878 0.8646
Te4 0.6354 0.5818 0.9122
Te5 0.0536 0.6354 0.7233
Te6 0.7767 0.4464 0.3646
Te7 0.1354 0.4122 0.0818
Te8 0.2767 0.8646 0.9464
Te9 0.6696 0.2233 0.5878
Te10 0.2767 0.4122 0.8304
Te11 0.4182 0.3646 0.5878
Te12 0.2233 0.5536 0.6354
Te13 0.4464 0.6696 0.0818
Te14 0.9182 0.8304 0.5536
Te15 0.0818 0.9122 0.1354
Te16 0.5536 0.3304 0.9182
Te17 0.9122 0.8304 0.7767
Te18 0.7233 0.5878 0.1696
Te19 0.4122 0.2767 0.3304
Te20 0.2233 0.6696 0.0878
Te21 0.5536 0.2233 0.1354
Te22 0.1696 0.0878 0.7233
Te23 0.3646 0.9464 0.7767
Te24 0.3646 0.4182 0.0878
Te25 0.5818 0.9464 0.6696
Te26 0.4182 0.0536 0.3304
Te27 0.9464 0.5818 0.1696
Te28 0.0818 0.1696 0.4464
Te29 0.3304 0.7767 0.4122
Te30 0.4464 0.7767 0.8646
Te31 0.4122 0.1354 0.5818
Te32 0.6696 0.4464 0.5818
Te33 0.0878 0.9182 0.3646
Te34 0.7233 0.1354 0.0536
Te35 0.1696 0.0818 0.9464
Te36 0.9122 0.0818 0.6354
Te37 0.8646 0.5878 0.9182
Te38 0.8304 0.9122 0.2767
Te39 0.5878 0.7233 0.6696
Te40 0.7767 0.3304 0.9122
Te41 0.5818 0.6354 0.4122
Te42 0.6354 0.0536 0.2233
Te43 0.8646 0.2767 0.4464
Te44 0.5878 0.8646 0.4182
Te45 0.3304 0.5536 0.4182
Te46 0.0878 0.1696 0.2233
Te47 0.1354 0.7233 0.5536
Te48 0.0536 0.4182 0.8304
Sn1 0.1250 0.8750 0.7500
Sn2 0.3750 0.7500 0.6250
Sn3 0.2500 0.6250 0.8750
Sn4 0.6250 0.2500 0.3750
Sn5 0.8750 0.1250 0.2500
Sn6 0.6250 0.3750 0.7500
Sn7 0.2500 0.1250 0.3750
Sn8 0.7500 0.3750 0.1250
Sn9 0.8750 0.7500 0.1250
Sn10 0.1250 0.2500 0.8750
Sn11 0.7500 0.8750 0.6250
Sn12 0.3750 0.6250 0.2500
```

---

(7)
This record from Alexandria describes a geometry-optimized AcLa8Tm4 structure. The functional is PBE.

- Density: 7.1 Mg/m³
- Electronic total energy: -58.7 eV per cell
- Total magnetic moment: 0.000 Bohr magnetons per cell
- Formation energy from the elements: 0.207 eV per atom
- Space-group type: R-3m (166)

```
data_AcLa8Tm4
_chemical_formula_sum 'Ac1 La8 Tm4'
_space_group_name_H-M_alt 'P 1'
_space_group_IT_number 1
_space_group_name_Hall 'P 1'
_cell_length_a 7.2139
_cell_length_b 7.2139
_cell_length_c 11.2359
_cell_angle_alpha 90.00
_cell_angle_beta 108.72
_cell_angle_gamma 120.00
loop_
_atom_site_label
_atom_site_fract_x
_atom_site_fract_y
_atom_site_fract_z
La1 0.0309 0.2412 0.2721
La2 0.9691 0.7588 0.7279
La3 0.9691 0.2104 0.7279
La4 0.4186 0.2093 0.6279
La5 0.5814 0.7907 0.3721
La6 0.0309 0.7896 0.2721
La7 0.5176 0.7588 0.7279
La8 0.4824 0.2412 0.2721
Tm1 0.0000 0.5000 0.0000
Tm2 0.5000 0.0000 0.0000
Tm3 0.0000 0.0000 0.0000
Tm4 0.5000 0.5000 0.0000
Ac1 0.0000 0.5000 0.5000
```

---

(8)
This record from Alexandria describes a geometry-optimized LiTbSe structure. The functional is PBE.

- Density: 7.0 Mg/m³
- Electronic total energy: -13.3 eV per cell
- Uncorrected formation energy: -105.2 kJ/mol of atoms
- Excess energy over the best structure of this formula in the dataset: 0 meV/atom
- Total magnetic moment: 0.000 Bohr magnetons per cell
- Space-group type: P-6m2 (187)

```
data_LiTbSe
_chemical_formula_sum 'Li1 Tb1 Se1'
_space_group_name_H-M_alt 'P 1'
_space_group_IT_number 1
_space_group_name_Hall 'P 1'
_cell_length_a 3.9564
_cell_length_b 4.1227
_cell_length_c 4.1227
_cell_angle_alpha 120.00
_cell_angle_beta 90.00
_cell_angle_gamma 90.00
loop_
_atom_site_label
_atom_site_fract_x
_atom_site_fract_y
_atom_site_fract_z
Tb1 0.6666 0.3333 0.6667
Li1 0.1668 0.6667 0.3333
Se1 0.1665 0.0000 0.0000
```

---

(9)
This record from Alexandria describes a geometry-optimized ZrZnHRh2 structure. The functional is PBE.

- Density: 9.1 Mg/m³
- Electronic total energy: -30.2 eV per cell
- Excess energy over the best structure of this formula in the dataset: 0 meV/atom
- Total magnetic moment: 0.000 Bohr magnetons per cell
- Space-group type: P4/mmm (123)

```
data_ZrZnHRh2
_chemical_formula_sum 'Zr1 Zn1 H1 Rh2'
_space_group_name_H-M_alt 'P 1'
_space_group_IT_number 1
_space_group_name_Hall 'P 1'
_cell_length_a 4.0849
_cell_length_b 4.0849
_cell_length_c 3.9604
_cell_angle_alpha 90.00
_cell_angle_beta 90.00
_cell_angle_gamma 90.00
loop_
_atom_site_label
_atom_site_fract_x
_atom_site_fract_y
_atom_site_fract_z
Zr1 0.0000 0.0000 0.5000
Rh1 0.0000 0.5000 0.0000
Rh2 0.5000 0.0000 0.0000
Zn1 0.5000 0.5000 0.5000
H1 0.0000 0.0000 0.0000
```

---

(10)
This record from Alexandria describes a geometry-optimized LiMg2Ag2 structure. The functional is PBE.

- Density: 4.0 Mg/m³
- Electronic total energy: -10.8 eV per cell
- Excess energy over the best structure of this formula in the dataset: 204 meV/atom
- Total magnetic moment: 0.000 Bohr magnetons per cell
- Formation energy from the elements: -0.008 eV per atom
- Space-group type: I4/mmm (139)

```
data_LiMg2Ag2
_chemical_formula_sum 'Li1 Mg2 Ag2'
_space_group_name_H-M_alt 'P 1'
_space_group_IT_number 1
_space_group_name_Hall 'P 1'
_cell_length_a 4.2017
_cell_length_b 4.2017
_cell_length_c 6.9676
_cell_angle_alpha 72.45
_cell_angle_beta 72.45
_cell_angle_gamma 90.00
loop_
_atom_site_label
_atom_site_fract_x
_atom_site_fract_y
_atom_site_fract_z
Li1 0.0000 0.0000 0.0000
Mg1 0.2500 0.7500 0.5000
Mg2 0.7500 0.2500 0.5000
Ag1 0.6063 0.6063 0.7875
Ag2 0.3937 0.3937 0.2125
```

---

> Number 3 is which compound?

LiTa2Tl

---

> Which of these has the lowest electronic total energy?

Sn3Bi5Te12

---

> What is the formula in the eighth record?

LiTbSe

---

> Which of these has the lowest density?

LiMg2Ag2